First-principles (PBE-GGA) data for a relaxed structure of ErPuMgAl, as listed in Alexandria.

a = 7.3207 Å, b = 7.3207 Å, c = 7.3207 Å
α = 90.00°, β = 90.00°, γ = 90.00°
Fractional positions:
Er  0.0000  0.0000  0.0000
Er  0.0000  0.5000  0.5000
Er  0.5000  0.0000  0.5000
Er  0.5000  0.5000  0.0000
Pu  0.0000  0.0000  0.5000
Pu  0.0000  0.5000  0.0000
Pu  0.5000  0.0000  0.0000
Pu  0.5000  0.5000  0.5000
Mg  0.2500  0.2500  0.7500
Mg  0.2500  0.7500  0.2500
Mg  0.7500  0.2500  0.2500
Mg  0.7500  0.7500  0.7500
Al  0.2500  0.2500  0.2500
Al  0.2500  0.7500  0.7500
Al  0.7500  0.2500  0.7500
Al  0.7500  0.7500  0.2500

Values from the calculation:
M_tot = 5.898 μB per formula unit
D(E_F) = 1.614 states/eV per atom
final energy = -6.141 eV/atom